(1)
Density functional theory data (PBE) for a geometry-optimized DyAsPd structure.

The structure in POSCAR format:
```
DyAsPd
1.0
6.2069 0.0000 0.0000
0.0000 3.9425 0.0000
0.0000 0.0000 10.1536
Dy As Pd
4 4 4
Direct
0.1712 0.2500 0.1374 Dy
0.3288 0.7500 0.6374 Dy
0.6712 0.2500 0.3626 Dy
0.8288 0.7500 0.8626 Dy
0.1776 0.2500 0.8436 As
0.3224 0.7500 0.3436 As
0.6776 0.2500 0.6564 As
0.8224 0.7500 0.1564 As
0.1239 0.2500 0.4445 Pd
0.3761 0.7500 0.9445 Pd
0.6239 0.2500 0.0555 Pd
0.8761 0.7500 0.5555 Pd
```



(2)
Density functional theory data (PBE) for a geometry-optimized NdTeAs structure.

The structure in POSCAR format:
```
NdTeAs
1.0
0.0000 3.6415 3.6415
3.6415 0.0000 3.6415
3.6415 3.6415 0.0000
Nd Te As
1 1 1
Direct
0.0000 0.0000 0.0000 Nd
0.2500 0.2500 0.2500 Te
0.7500 0.7500 0.7500 As
```



(3)
Density functional theory data (PBE) for a geometry-optimized Y3Sb4Au3 structure.

The structure in POSCAR format:
```
Y3Sb4Au3
1.0
-4.9610 4.9610 4.9610
4.9610 -4.9610 4.9610
4.9610 4.9610 -4.9610
Y Sb Au
6 8 6
Direct
0.1250 0.8750 0.2500 Y
0.2500 0.1250 0.8750 Y
0.3750 0.6250 0.7500 Y
0.6250 0.7500 0.3750 Y
0.7500 0.3750 0.6250 Y
0.8750 0.2500 0.1250 Y
0.0000 0.1764 0.5000 Sb
0.0000 0.6764 0.5000 Sb
0.1764 0.5000 0.0000 Sb
0.3236 0.3236 0.3236 Sb
0.5000 0.0000 0.1764 Sb
0.5000 0.0000 0.6764 Sb
0.6764 0.5000 0.0000 Sb
0.8236 0.8236 0.8236 Sb
0.1250 0.7500 0.8750 Au
0.2500 0.6250 0.3750 Au
0.3750 0.2500 0.6250 Au
0.6250 0.3750 0.2500 Au
0.7500 0.8750 0.1250 Au
0.8750 0.1250 0.7500 Au
```



(4)
Density functional theory data (PBE) for a geometry-optimized HfSi2Pd structure.

The structure in POSCAR format:
```
HfSi2Pd
1.0
0.0000 3.2067 3.2067
3.2067 0.0000 3.2067
3.2067 3.2067 0.0000
Hf Si Pd
1 2 1
Direct
0.0000 0.0000 0.0000 Hf
0.2500 0.2500 0.2500 Si
0.5000 0.5000 0.5000 Si
0.7500 0.7500 0.7500 Pd
```



no.,calculated total energy (eV per atom)
1,-5.816
2,-4.808
3,-5.394
4,-6.632